Entry 1:
Here is Na5I4Br after structural relaxation from the Alexandria database. Energies are from PBE.

a = 16.3760 Å, b = 16.3760 Å, c = 16.3760 Å
α = 163.98°, β = 163.98°, γ = 22.73°
Positions (direct):
Na 0.0000 0.0000 0.0000
Na 0.2000 0.2000 0.0000
Na 0.4059 0.4059 0.0000
Na 0.5941 0.5941 0.0000
Na 0.8000 0.8000 0.0000
I 0.0980 0.0980 0.0000
I 0.3014 0.3014 0.0000
I 0.6986 0.6986 0.0000
I 0.9020 0.9020 0.0000
Br 0.5000 0.5000 0.0000

Symmetry = I4/mmm

Entry 2:
Here is Na3IBr after structural relaxation from the Alexandria database. Energies are from PBE.

a = 6.0698 Å, b = 6.0698 Å, c = 6.0698 Å
α = 90.00°, β = 90.00°, γ = 90.00°
Positions (direct):
Na 0.0000 0.0000 0.5000
Na 0.0000 0.5000 0.0000
Na 0.5000 0.0000 0.0000
I 0.0000 0.0000 0.0000
Br 0.5000 0.5000 0.5000

Symmetry = Pm-3m
Energy relative to the lowest polymorph listed for this composition = 161 meV/atom

Entry 3:
Here is Na2I2Br7 after structural relaxation from the Alexandria database. Energies are from PBE.

a = 7.8230 Å, b = 14.1457 Å, c = 9.5098 Å
α = 90.00°, β = 113.07°, γ = 90.00°
Positions (direct):
Na 0.2488 0.1850 0.0397
Na 0.2488 0.3150 0.5397
Na 0.7512 0.6850 0.4603
Na 0.7512 0.8150 0.9603
I 0.2108 0.5103 0.8054
I 0.2108 0.9897 0.3054
I 0.7892 0.0103 0.6946
I 0.7892 0.4897 0.1946
Br 0.0000 0.0000 0.5000
Br 0.0000 0.5000 0.0000
Br 0.1033 0.6873 0.7323
Br 0.1033 0.8127 0.2323
Br 0.3546 0.1733 0.3698
Br 0.3546 0.3267 0.8698
Br 0.4000 0.5068 0.5904
Br 0.4000 0.9932 0.0904
Br 0.6000 0.0068 0.9096
Br 0.6000 0.4932 0.4096
Br 0.6454 0.6733 0.1302
Br 0.6454 0.8267 0.6302
Br 0.8967 0.1873 0.7677
Br 0.8967 0.3127 0.2677

Symmetry = P2_1/c
Energy relative to the lowest polymorph listed for this composition = 0 meV/atom

Entry 4:
Here is Na2IBr after structural relaxation from the Alexandria database. Energies are from PBE.

a = 5.5173 Å, b = 5.5173 Å, c = 3.9218 Å
α = 90.00°, β = 90.00°, γ = 90.00°
Positions (direct):
Na 0.0000 0.5000 0.0000
Na 0.5000 0.0000 0.0000
I 0.0000 0.0000 0.5000
Br 0.5000 0.5000 0.5000

Symmetry = P4/mmm
Energy relative to the lowest polymorph listed for this composition = 160 meV/atom

Entry 5:
Here is Na2IBr after structural relaxation from the Alexandria database. Energies are from PBE.

a = 7.7053 Å, b = 7.7053 Å, c = 7.7053 Å
α = 33.51°, β = 33.51°, γ = 33.51°
Positions (direct):
Na 0.2441 0.2441 0.2441
Na 0.7559 0.7559 0.7559
I 0.0000 0.0000 0.0000
Br 0.5000 0.5000 0.5000

Symmetry = R-3m
Energy relative to the lowest polymorph listed for this composition = 0 meV/atom

Entry 6:
Here is NaI3Br after structural relaxation from the Alexandria database. Energies are from PBE.

a = 6.0317 Å, b = 6.0317 Å, c = 6.0317 Å
α = 90.00°, β = 90.00°, γ = 90.00°
Positions (direct):
Na 0.0000 0.0000 0.0000
I 0.0000 0.5000 0.5000
I 0.5000 0.0000 0.5000
I 0.5000 0.5000 0.0000
Br 0.5000 0.5000 0.5000

Symmetry = Pm-3m
Energy relative to the lowest polymorph listed for this composition = 0 meV/atom

no.,electronic total energy (eV per atom),calculated volume (Å³ per atom),formation energy (no corrections) (meV per atom)
1,-2.7578,33.4,-1311
2,-2.1413,44.7,-705
3,-2.1187,44.0,-532
4,-2.7060,29.8,-1241
5,-2.8655,31.1,-1400
6,-1.7224,43.9,-194